VASP calculation (PBE) on a geometry-optimized Mn2ZnAg structure.

Cell: 8.939 8.939 8.939 Å, 17.05 17.05 17.05°
Element x y z (fractional)
1 Ag 0.748 0.748 0.748
2 Zn 0.507 0.507 0.507
3 Mn 0.990 0.990 0.990
4 Mn 0.256 0.256 0.256

Results
Density   8.8 Mg/m³
Space-group type   R3m, No. 160
Electronic total energy   -5.39 eV/atom
Formation energy from the elements   227 meV/atom
Size of the total moment   0.00 μB/f.u.